No. 1
Density functional theory data (PBE) for a geometry-optimized ThOsCl structure.

a = 4.153 Å, b = 14.624 Å, c = 4.899 Å
α = 90.00°, β = 90.00°, γ = 90.00°
Space group Cmcm (No. 63)
One atom of each set of equivalent atoms:
Th1 0.000 0.109 0.250 (multiplicity 4)
Os1 0.000 0.485 0.250 (multiplicity 4)
Cl1 0.000 0.231 0.750 (multiplicity 4)

Summary:
* offset from the most stable computed form: 0.1700 eV/atom
* ΔE_f (raw): -0.872 eV per atom
* E_tot: -23.11 eV per formula unit
* total magnetization: 0.00 μB per formula unit

No. 2
Density functional theory data (PBE) for a geometry-optimized PaAlRuC structure.

a = 3.746 Å, b = 3.746 Å, c = 9.264 Å
α = 90.00°, β = 90.00°, γ = 90.00°
Space group P4/nmm (No. 129, origin choice 2)
One atom of each set of equivalent atoms:
Pa1 0.250 0.250 0.140 (multiplicity 2)
Al1 0.250 0.250 0.678 (multiplicity 2)
Ru1 0.250 0.750 0.500 (multiplicity 2)
C1 0.250 0.250 0.891 (multiplicity 2)

Summary:
* ΔH_f (0 K): -210 meV/atom
* E_tot: -32.58 eV per formula unit
* total magnetization: 0.35 μB per formula unit